The following is a PBE calculation of crystalline La2Y3Zn3 at its relaxed geometry, from Alexandria.

Cell and atoms, written as POSCAR:
```
La2Y3Zn3
1.0
3.630 0.000 -0.585
-0.194 4.997 -1.202
0.007 0.144 11.605
La Y Zn
2 3 3
Direct
0.274 0.774 0.548
0.726 0.226 0.452
0.388 0.388 0.775
0.612 0.612 0.225
0.500 0.000 0.000
0.891 0.891 0.783
0.000 0.500 0.000
0.109 0.109 0.217
```

Calculated values
Total energy = -34.93 eV for the cell shown
ΔE_f = -0.2331 eV per atom
ρ = 5.82 g cm⁻³